#one
Density functional theory data (PBE) for an optimized crystal structure of TcRh3W.

Output
As for the density of states at the Fermi level: 4.47 states/eV/f.u. The spin magnetization comes out at 0.000 μB per cell.

POSCAR file:
```
TcRh3W
1.0
4.459 0.758 -1.421
0.826 4.673 -0.262
-0.149 -0.376 7.240
Tc Rh W
2 6 2
direct
0.366 0.344 0.012
0.660 0.845 0.602
0.567 0.344 0.414
0.762 0.344 0.806
0.067 0.844 0.415
0.959 0.345 0.200
0.459 0.845 0.201
0.264 0.844 0.809
0.863 0.844 0.008
0.162 0.345 0.607
```

#two
Density functional theory data (PBE) for an optimized crystal structure of TcRh3W.

Output
As for the density of states at the Fermi level: 11.39 states/eV/f.u. The spin magnetization comes out at 0.000 μB per cell.

POSCAR file:
```
TcRh3W
1.0
4.576 0.000 0.000
0.000 4.576 0.000
0.000 0.000 4.576
Rh Tc W
3 1 1
direct
0.000 0.500 0.000
0.000 0.000 0.500
0.500 0.000 0.000
0.000 0.000 0.000
0.500 0.500 0.500
```

Which one is the least stable? From the structures above, #two.